# CsZn | OQMD | PBE | relaxed
# VASP energy = -0.9332 eV/atom
data_CsZn
_chemical_formula_sum 'Cs6 Zn6'
_cell_length_a 7.890
_cell_length_b 4.987
_cell_length_c 14.085
_cell_angle_alpha 90.00
_cell_angle_beta 90.17
_cell_angle_gamma 90.00
_symmetry_space_group_name_H-M 'P 1 m 1'
_symmetry_Int_Tables_number 6
_symmetry_space_group_name_Hall 'P -2y'
loop_
_atom_site_label
_atom_site_type_symbol
_atom_site_fract_x
_atom_site_fract_y
_atom_site_fract_z
Cs1 Cs 0.000 0.000 0.000
Cs2 Cs 0.046 0.500 0.686
Cs3 Cs 0.292 0.500 0.196
Cs4 Cs 0.499 0.000 0.619
Cs5 Cs 0.546 0.500 0.934
Cs6 Cs 0.795 0.500 0.423
Zn1 Zn 0.166 0.000 0.424
Zn2 Zn 0.294 0.500 0.448
Zn3 Zn 0.467 0.000 0.353
Zn4 Zn 0.664 0.000 0.192
Zn5 Zn 0.792 0.500 0.171
Zn6 Zn 0.963 0.000 0.266


# CsZn3 | OQMD | PBE | relaxed
# VASP energy = -1.0476 eV/atom
data_CsZn3
_chemical_formula_sum 'Cs2 Zn6'
_cell_length_a 8.0743
_cell_length_b 8.0743
_cell_length_c 4.2315
_cell_angle_alpha 90.00
_cell_angle_beta 90.00
_cell_angle_gamma 120.00
_symmetry_space_group_name_H-M 'P 63/m m c'
_symmetry_Int_Tables_number 194
_symmetry_space_group_name_Hall '-P 6c 2c'
loop_
_atom_site_label
_atom_site_type_symbol
_atom_site_fract_x
_atom_site_fract_y
_atom_site_fract_z
Cs1 Cs 0.3333 0.6667 0.2500
Zn1 Zn 0.1151 0.2303 0.7500


# CsZn2 | OQMD | PBE | relaxed
# VASP energy = -0.9796 eV/atom
data_CsZn2
_chemical_formula_sum 'Cs4 Zn8'
_cell_length_a 13.354
_cell_length_b 5.427
_cell_length_c 4.629
_cell_angle_alpha 90.00
_cell_angle_beta 90.00
_cell_angle_gamma 90.00
_symmetry_space_group_name_H-M 'C m c m'
_symmetry_Int_Tables_number 63
_symmetry_space_group_name_Hall '-C 2c 2'
loop_
_atom_site_label
_atom_site_type_symbol
_atom_site_fract_x
_atom_site_fract_y
_atom_site_fract_z
Cs1 Cs 0.000 0.246 0.250
Zn1 Zn 0.230 0.369 0.750


# Cs3Zn4 | OQMD | PBE | relaxed
# VASP energy = -0.9462 eV/atom
data_Cs3Zn4
_chemical_formula_sum 'Cs6 Zn8'
_cell_length_a 11.804
_cell_length_b 4.739
_cell_length_c 11.811
_cell_angle_alpha 90.00
_cell_angle_beta 119.96
_cell_angle_gamma 90.00
_symmetry_space_group_name_H-M 'P 1 21/m 1'
_symmetry_Int_Tables_number 11
_symmetry_space_group_name_Hall '-P 2yb'
loop_
_atom_site_label
_atom_site_type_symbol
_atom_site_fract_x
_atom_site_fract_y
_atom_site_fract_z
Cs1 Cs 0.079 0.250 0.403
Cs2 Cs 0.324 0.250 0.921
Cs3 Cs 0.403 0.750 0.324
Zn1 Zn 0.027 0.750 0.144
Zn2 Zn 0.117 0.750 0.973
Zn3 Zn 0.144 0.250 0.117
Zn4 Zn 0.333 0.750 0.666


# CsZn2 | OQMD | PBE | relaxed
# VASP energy = -0.8944 eV/atom
data_CsZn2
_chemical_formula_sum 'Cs4 Zn8'
_cell_length_a 4.658
_cell_length_b 12.307
_cell_length_c 7.177
_cell_angle_alpha 90.00
_cell_angle_beta 90.00
_cell_angle_gamma 90.00
_symmetry_space_group_name_H-M 'P m m n'
_symmetry_Int_Tables_number 59
loop_
_symmetry_equiv_pos_as_xyz
'x,y,z'
'-x,-y,-z'
'-x+1/2,-y+1/2,z'
'x+1/2,y+1/2,-z'
'x+1/2,-y,-z'
'-x+1/2,y,z'
'-x,y+1/2,-z'
'x,-y+1/2,z'
loop_
_atom_site_label
_atom_site_type_symbol
_atom_site_fract_x
_atom_site_fract_y
_atom_site_fract_z
Cs1 Cs 0.250 0.091 0.171
Zn1 Zn 0.250 0.250 0.655
Zn2 Zn 0.250 0.642 0.459
Zn3 Zn 0.250 0.750 0.148


# CsZn | OQMD | PBE | relaxed
# VASP energy = -0.8261 eV/atom
data_CsZn
_chemical_formula_sum 'Cs8 Zn8'
_cell_length_a 6.870
_cell_length_b 8.743
_cell_length_c 13.536
_cell_angle_alpha 90.00
_cell_angle_beta 90.00
_cell_angle_gamma 90.00
_symmetry_space_group_name_H-M 'P m m n'
_symmetry_Int_Tables_number 59
loop_
_symmetry_equiv_pos_as_xyz
'x,y,z'
'-x,-y,-z'
'-x+1/2,-y+1/2,z'
'x+1/2,y+1/2,-z'
'x+1/2,-y,-z'
'-x+1/2,y,z'
'-x,y+1/2,-z'
'x,-y+1/2,z'
loop_
_atom_site_label
_atom_site_type_symbol
_atom_site_fract_x
_atom_site_fract_y
_atom_site_fract_z
Cs1 Cs 0.250 0.003 0.109
Cs2 Cs 0.250 0.750 0.387
Cs3 Cs 0.250 0.750 0.719
Zn1 Zn 0.250 0.098 0.544
Zn2 Zn 0.250 0.250 0.378
Zn3 Zn 0.250 0.250 0.850


# CsZn2 | OQMD | PBE | relaxed
# VASP energy = -0.9371 eV/atom
data_CsZn2
_chemical_formula_sum 'Cs8 Zn16'
_cell_length_a 10.674
_cell_length_b 4.947
_cell_length_c 15.478
_cell_angle_alpha 90.00
_cell_angle_beta 100.50
_cell_angle_gamma 90.00
_symmetry_space_group_name_H-M 'P 1 m 1'
_symmetry_Int_Tables_number 6
_symmetry_space_group_name_Hall 'P -2y'
loop_
_atom_site_label
_atom_site_type_symbol
_atom_site_fract_x
_atom_site_fract_y
_atom_site_fract_z
Cs1 Cs 0.000 0.000 0.000
Cs2 Cs 0.013 0.000 0.735
Cs3 Cs 0.142 0.000 0.340
Cs4 Cs 0.266 0.500 0.951
Cs5 Cs 0.394 0.500 0.555
Cs6 Cs 0.408 0.500 0.291
Cs7 Cs 0.568 0.000 0.952
Cs8 Cs 0.840 0.500 0.339
Zn1 Zn 0.064 0.500 0.168
Zn2 Zn 0.342 0.000 0.123
Zn3 Zn 0.413 0.000 0.734
Zn4 Zn 0.475 0.500 0.779
Zn5 Zn 0.594 0.000 0.200
Zn6 Zn 0.602 0.500 0.132
Zn7 Zn 0.632 0.000 0.376
Zn8 Zn 0.644 0.000 0.695
Zn9 Zn 0.697 0.000 0.540
Zn10 Zn 0.711 0.500 0.751
Zn11 Zn 0.764 0.500 0.596
Zn12 Zn 0.776 0.500 0.915
Zn13 Zn 0.806 0.000 0.159
Zn14 Zn 0.815 0.500 0.090
Zn15 Zn 0.933 0.000 0.512
Zn16 Zn 0.994 0.500 0.557


# CsZn | OQMD | PBE | relaxed
# VASP energy = -0.7478 eV/atom
data_CsZn
_chemical_formula_sum 'Cs1 Zn1'
_cell_length_a 4.7692
_cell_length_b 4.7692
_cell_length_c 5.2553
_cell_angle_alpha 90.00
_cell_angle_beta 90.00
_cell_angle_gamma 120.00
_symmetry_space_group_name_H-M 'P -6 m 2'
_symmetry_Int_Tables_number 187
_symmetry_space_group_name_Hall 'P -6 2'
loop_
_atom_site_label
_atom_site_type_symbol
_atom_site_fract_x
_atom_site_fract_y
_atom_site_fract_z
Cs1 Cs 0.0000 0.0000 0.0000
Zn1 Zn 0.6667 0.3333 0.5000


# CsZn | OQMD | PBE | relaxed
# VASP energy = -0.8345 eV/atom
data_CsZn
_chemical_formula_sum 'Cs8 Zn8'
_cell_length_a 4.892
_cell_length_b 19.575
_cell_length_c 7.035
_cell_angle_alpha 90.00
_cell_angle_beta 90.00
_cell_angle_gamma 90.00
_symmetry_space_group_name_H-M 'P m m n'
_symmetry_Int_Tables_number 59
loop_
_symmetry_equiv_pos_as_xyz
'x,y,z'
'-x,-y,-z'
'-x+1/2,-y+1/2,z'
'x+1/2,y+1/2,-z'
'x+1/2,-y,-z'
'-x+1/2,y,z'
'-x,y+1/2,-z'
'x,-y+1/2,z'
loop_
_atom_site_label
_atom_site_type_symbol
_atom_site_fract_x
_atom_site_fract_y
_atom_site_fract_z
Cs1 Cs 0.250 0.009 0.221
Cs2 Cs 0.250 0.156 0.626
Zn1 Zn 0.250 0.250 0.124
Zn2 Zn 0.250 0.651 0.799
Zn3 Zn 0.250 0.750 0.028


# CsZn | OQMD | PBE | relaxed
# VASP energy = -0.8385 eV/atom
data_CsZn
_chemical_formula_sum 'Cs12 Zn12'
_cell_length_a 8.892
_cell_length_b 7.414
_cell_length_c 18.551
_cell_angle_alpha 90.00
_cell_angle_beta 90.07
_cell_angle_gamma 90.00
_symmetry_space_group_name_H-M 'P 1 21/m 1'
_symmetry_Int_Tables_number 11
_symmetry_space_group_name_Hall '-P 2yb'
loop_
_atom_site_label
_atom_site_type_symbol
_atom_site_fract_x
_atom_site_fract_y
_atom_site_fract_z
Cs1 Cs 0.061 0.250 0.303
Cs2 Cs 0.062 0.750 0.197
Cs3 Cs 0.141 0.250 0.546
Cs4 Cs 0.142 0.750 0.954
Cs5 Cs 0.416 0.250 0.105
Cs6 Cs 0.416 0.750 0.395
Zn1 Zn 0.265 0.750 0.583
Zn2 Zn 0.266 0.250 0.916
Zn3 Zn 0.355 0.250 0.782
Zn4 Zn 0.355 0.750 0.718
Zn5 Zn 0.449 0.250 0.389
Zn6 Zn 0.449 0.750 0.111


# Cs2Zr | OQMD | PBE | relaxed
# M_tot = 3.9 μB/f.u.
# VASP energy = -1.9881 eV/atom
data_Cs2Zr
_chemical_formula_sum 'Cs8 Zr4'
_cell_length_a 9.554
_cell_length_b 9.554
_cell_length_c 9.554
_cell_angle_alpha 90.00
_cell_angle_beta 90.00
_cell_angle_gamma 90.00
_symmetry_space_group_name_H-M 'F m -3 m'
_symmetry_Int_Tables_number 225
_symmetry_space_group_name_Hall '-F 4 2 3'
loop_
_atom_site_label
_atom_site_type_symbol
_atom_site_fract_x
_atom_site_fract_y
_atom_site_fract_z
Cs1 Cs 0.250 0.250 0.250
Zr1 Zr 0.000 0.000 0.000


# CsZr | OQMD | PBE | relaxed
# M_tot = 3.6 μB/f.u.
# VASP energy = -2.1072 eV/atom
data_CsZr
_chemical_formula_sum 'Cs4 Zr4'
_cell_length_a 8.255
_cell_length_b 8.255
_cell_length_c 8.255
_cell_angle_alpha 90.00
_cell_angle_beta 90.00
_cell_angle_gamma 90.00
_symmetry_space_group_name_H-M 'F -4 3 m'
_symmetry_Int_Tables_number 216
_symmetry_space_group_name_Hall 'F -4 2 3'
loop_
_atom_site_label
_atom_site_type_symbol
_atom_site_fract_x
_atom_site_fract_y
_atom_site_fract_z
Cs1 Cs 0.000 0.000 0.000
Zr1 Zr 0.250 0.250 0.750


# CsZr5 | OQMD | PBE | relaxed
# M_tot = 0.0 μB/f.u.
# VASP energy = -6.5865 eV/atom
data_CsZr5
_chemical_formula_sum 'Cs1 Zr5'
_cell_length_a 5.7312
_cell_length_b 5.7312
_cell_length_c 5.4261
_cell_angle_alpha 90.00
_cell_angle_beta 90.00
_cell_angle_gamma 120.00
_symmetry_space_group_name_H-M 'P -6 2 m'
_symmetry_Int_Tables_number 189
_symmetry_space_group_name_Hall 'P -6 -2'
loop_
_atom_site_label
_atom_site_type_symbol
_atom_site_fract_x
_atom_site_fract_y
_atom_site_fract_z
Cs1 Cs 0.0000 0.0000 0.0000
Zr1 Zr 0.0000 0.3720 0.5000
Zr2 Zr 0.3333 0.6667 0.0000


# Cs3Zr4 | OQMD | PBE | relaxed
# M_tot = 0.0 μB/f.u.
# VASP energy = -4.4367 eV/atom
data_Cs3Zr4
_chemical_formula_sum 'Cs6 Zr8'
_cell_length_a 11.1722
_cell_length_b 11.1722
_cell_length_c 4.9476
_cell_angle_alpha 90.00
_cell_angle_beta 90.00
_cell_angle_gamma 120.00
_symmetry_space_group_name_H-M 'P 63/m'
_symmetry_Int_Tables_number 176
_symmetry_space_group_name_Hall '-P 6c'
loop_
_atom_site_label
_atom_site_type_symbol
_atom_site_fract_x
_atom_site_fract_y
_atom_site_fract_z
Cs1 Cs 0.0883 0.7992 0.2500
Zr1 Zr 0.1533 0.5753 0.7500
Zr2 Zr 0.3333 0.6667 0.2500


# Dy6Cu23 | OQMD | PBE | relaxed
# energy of formation = -0.193 eV per atom
# M_tot = 0.0 μB/f.u.
data_Dy6Cu23
_chemical_formula_sum 'Dy24 Cu92'
_cell_length_a 12.083
_cell_length_b 12.083
_cell_length_c 12.083
_cell_angle_alpha 90.00
_cell_angle_beta 90.00
_cell_angle_gamma 90.00
_symmetry_space_group_name_H-M 'F m -3 m'
_symmetry_Int_Tables_number 225
_symmetry_space_group_name_Hall '-F 4 2 3'
loop_
_atom_site_label
_atom_site_type_symbol
_atom_site_fract_x
_atom_site_fract_y
_atom_site_fract_z
Dy1 Dy 0.000 0.000 0.212
Cu1 Cu 0.000 0.000 0.500
Cu2 Cu 0.000 0.250 0.250
Cu3 Cu 0.122 0.122 0.378
Cu4 Cu 0.174 0.174 0.174


# DyCu5 | OQMD | PBE | relaxed
# energy of formation = -0.192 eV per atom
# M_tot = 0.0 μB/f.u.
data_DyCu5
_chemical_formula_sum 'Dy1 Cu5'
_cell_length_a 4.9908
_cell_length_b 4.9908
_cell_length_c 4.0736
_cell_angle_alpha 90.00
_cell_angle_beta 90.00
_cell_angle_gamma 120.00
_symmetry_space_group_name_H-M 'P 6/m m m'
_symmetry_Int_Tables_number 191
_symmetry_space_group_name_Hall '-P 6 2'
loop_
_atom_site_label
_atom_site_type_symbol
_atom_site_fract_x
_atom_site_fract_y
_atom_site_fract_z
Dy1 Dy 0.0000 0.0000 0.0000
Cu1 Cu 0.0000 0.5000 0.5000
Cu2 Cu 0.3333 0.6667 0.0000


# DyEr3Cu4 | OQMD | PBE | relaxed
# energy of formation = -0.275 eV per atom
# M_tot = 0.0 μB/f.u.
data_DyEr3Cu4
_chemical_formula_sum 'Dy1 Er3 Cu4'
_cell_length_a 5.334
_cell_length_b 4.456
_cell_length_c 7.060
_cell_angle_alpha 90.00
_cell_angle_beta 90.08
_cell_angle_gamma 90.00
_symmetry_space_group_name_H-M 'P 1 m 1'
_symmetry_Int_Tables_number 6
_symmetry_space_group_name_Hall 'P -2y'
loop_
_atom_site_label
_atom_site_type_symbol
_atom_site_fract_x
_atom_site_fract_y
_atom_site_fract_z
Dy1 Dy 0.000 0.000 0.000
Er1 Er 0.231 0.000 0.500
Er2 Er 0.500 0.500 0.137
Er3 Er 0.731 0.500 0.636
Cu1 Cu 0.239 0.500 0.785
Cu2 Cu 0.493 0.000 0.851
Cu3 Cu 0.738 0.000 0.352
Cu4 Cu 0.993 0.500 0.286


# DyErCu6 | OQMD | PBE | relaxed
# energy of formation = -0.185 eV per atom
# M_tot = 0.0 μB/f.u.
data_DyErCu6
_chemical_formula_sum 'Dy1 Er1 Cu6'
_cell_length_a 4.370
_cell_length_b 5.823
_cell_length_c 5.064
_cell_angle_alpha 90.00
_cell_angle_beta 90.00
_cell_angle_gamma 90.00
_symmetry_space_group_name_H-M 'P m m 2'
_symmetry_Int_Tables_number 25
_symmetry_space_group_name_Hall 'P 2 -2'
loop_
_atom_site_label
_atom_site_type_symbol
_atom_site_fract_x
_atom_site_fract_y
_atom_site_fract_z
Dy1 Dy 0.000 0.000 0.000
Er1 Er 0.500 0.500 0.722
Cu1 Cu 0.000 0.229 0.501
Cu2 Cu 0.000 0.500 0.113
Cu3 Cu 0.500 0.000 0.598
Cu4 Cu 0.500 0.277 0.221


# Dy3ErCu4 | OQMD | PBE | relaxed
# energy of formation = -0.265 eV per atom
# M_tot = 0.0 μB/f.u.
data_Dy3ErCu4
_chemical_formula_sum 'Dy3 Er1 Cu4'
_cell_length_a 5.334
_cell_length_b 4.459
_cell_length_c 7.068
_cell_angle_alpha 90.00
_cell_angle_beta 90.03
_cell_angle_gamma 90.00
_symmetry_space_group_name_H-M 'P 1 m 1'
_symmetry_Int_Tables_number 6
_symmetry_space_group_name_Hall 'P -2y'
loop_
_atom_site_label
_atom_site_type_symbol
_atom_site_fract_x
_atom_site_fract_y
_atom_site_fract_z
Dy1 Dy 0.000 0.000 0.000
Dy2 Dy 0.232 0.000 0.500
Dy3 Dy 0.731 0.500 0.636
Er1 Er 0.500 0.500 0.136
Cu1 Cu 0.239 0.500 0.786
Cu2 Cu 0.493 0.000 0.851
Cu3 Cu 0.738 0.000 0.351
Cu4 Cu 0.993 0.500 0.285


# DyErGa4Cu2 | OQMD | PBE | relaxed
# M_tot = 0.0 μB/f.u.
# VASP energy = -4.0921 eV/atom
data_DyErGa4Cu2
_chemical_formula_sum 'Dy2 Er2 Ga8 Cu4'
_cell_length_a 6.533
_cell_length_b 4.315
_cell_length_c 10.065
_cell_angle_alpha 90.00
_cell_angle_beta 90.00
_cell_angle_gamma 90.00
_symmetry_space_group_name_H-M 'A m m 2'
_symmetry_Int_Tables_number 38
_symmetry_space_group_name_Hall 'A 2 -2'
loop_
_atom_site_label
_atom_site_type_symbol
_atom_site_fract_x
_atom_site_fract_y
_atom_site_fract_z
Dy1 Dy 0.000 0.000 0.000
Er1 Er 0.500 0.000 0.179
Ga1 Ga 0.199 0.000 0.715
Ga2 Ga 0.302 0.000 0.463
Cu1 Cu 0.000 0.000 0.290
Cu2 Cu 0.500 0.000 0.888


# DyEr2Ga4Cu | OQMD | PBE | relaxed
# M_tot = 0.0 μB/f.u.
# VASP energy = -4.0889 eV/atom
data_DyEr2Ga4Cu
_chemical_formula_sum 'Dy2 Er4 Ga8 Cu2'
_cell_length_a 6.616
_cell_length_b 4.386
_cell_length_c 11.553
_cell_angle_alpha 90.00
_cell_angle_beta 90.00
_cell_angle_gamma 90.00
_symmetry_space_group_name_H-M 'A m m 2'
_symmetry_Int_Tables_number 38
_symmetry_space_group_name_Hall 'A 2 -2'
loop_
_atom_site_label
_atom_site_type_symbol
_atom_site_fract_x
_atom_site_fract_y
_atom_site_fract_z
Dy1 Dy 0.000 0.000 0.000
Er1 Er 0.000 0.000 0.280
Er2 Er 0.500 0.000 0.145
Ga1 Ga 0.211 0.000 0.609
Ga2 Ga 0.317 0.000 0.830
Cu1 Cu 0.500 0.000 0.427